Entry 1:
AgSnSbI2: optimized geometry, PBE-GGA.

a b c (Å): 5.6083 5.6083 5.5294
angles (deg): 90.00 90.00 90.00
Closest atoms and distances in Å follow each position.
Fractional positions:
Ag: 0.0000 0.0000 0.0000  2 Sb 2.76, 4 I 2.80
Sn: 0.5000 0.5000 0.5000  8 I 3.94, 4 Sb 3.97
Sb: 0.0000 0.0000 0.5000  2 Ag 2.76
I: 0.0000 0.5000 0.0000  2 Ag 2.80
I: 0.5000 0.0000 0.0000  2 Ag 2.80

## Properties
VASP energy   -12.26 eV per cell
Offset from the most stable computed form   0 meV/atom
Space group   P4/mmm (123)
Uncorrected formation energy   1.821 eV/f.u.

Entry 2:
SrAc4Cd: optimized geometry, PBE-GGA.

a b c (Å): 7.3240 7.3240 7.3240
angles (deg): 60.00 60.00 60.00
Closest atoms and distances in Å follow each position.
Fractional positions:
Sr: 0.0000 0.0000 0.0000  12 Ac 4.30, 4 Cd 4.48
Ac: 0.1277 0.6241 0.6241  6 Ac 3.64-3.69
Ac: 0.6241 0.1277 0.6241  6 Ac 3.64-3.69
Ac: 0.6241 0.6241 0.1277  6 Ac 3.64-3.69
Ac: 0.6241 0.6241 0.6241  6 Ac 3.64-3.69
Cd: 0.2500 0.2500 0.2500  12 Ac 4.29, 4 Sr 4.48

## Properties
VASP energy   -17.19 eV per cell
Offset from the most stable computed form   381 meV/atom
Space group   F-43m (216)
ΔH_f (0 K)   306 meV per atom

Entry 3:
InCoCuAu: optimized geometry, PBE-GGA.

a b c (Å): 4.4330 4.4330 4.4330
angles (deg): 60.00 60.00 60.00
Closest atoms and distances in Å follow each position.
Fractional positions:
In: 0.0000 0.0000 0.0000  4 Co 2.71, 4 Cu 2.71
Co: 0.7500 0.7500 0.7500  4 Au 2.71, 4 In 2.71
Cu: 0.2500 0.2500 0.2500  4 Au 2.71, 4 In 2.71
Au: 0.5000 0.5000 0.5000  4 Cu 2.71, 4 Co 2.71

## Properties
VASP energy   -16.83 eV per cell
Space group   F-43m (216)
ΔH_f (0 K)   98 meV per atom